Entry 1:
6
Lattice="13.646 0.000 0.000 0.000 2.120 3.664 0.000 -2.120 3.664" Properties=species:S:1:pos:R:3 comment="PmSBr | the Alexandria database | GGA-PBE | relaxed" mass_density_kg_m3=4026 n_ef_per_ev_cell=0.0 dft_energy_ev_per_atom=-5.436 crystal_system=orthorhombic space_group="Aem2, No. 39" formation_energy_uncorrected_ev_per_atom=-1.9186 pbc="T T T"
Pm 3.018 -1.060 3.664
Pm 10.628 1.060 3.664
S 1.842 1.060 4.886
S 11.804 -1.060 4.886
Br 4.879 1.060 2.447
Br 8.767 -1.060 2.447



Entry 2:
12
Lattice="2.694 -10.959 0.000 2.694 10.959 0.000 -0.634 0.000 5.265" Properties=species:S:1:pos:R:3 comment="PmS4Br | the Alexandria database | GGA-PBE | relaxed" mass_density_kg_m3=3772 n_ef_per_ev_cell=3.8 dft_energy_ev_per_atom=-4.373 crystal_system=monoclinic space_group="C2/c, No. 15" formation_energy_uncorrected_ev_per_atom=-0.5509 pbc="T T T"
Pm 2.218 8.783 3.949
Pm 2.536 -8.783 1.316
S 1.408 6.200 2.076
S 1.335 0.013 0.033
S 1.018 -0.013 2.666
S 3.663 6.200 0.557
S 1.091 -6.200 4.708
S 3.736 0.013 2.599
S 3.419 -0.013 5.232
S 3.346 -6.200 3.190
Br 2.536 3.021 1.316
Br 2.218 -3.021 3.949



Entry 3:
4
Lattice="1.978 1.142 7.608 -1.978 1.142 7.608 0.000 -2.284 7.608" Properties=species:S:1:pos:R:3 comment="Pm2SBr | the Alexandria database | GGA-PBE | relaxed" mass_density_kg_m3=6475 n_ef_per_ev_cell=1.5 dft_energy_ev_per_atom=-5.410 crystal_system=trigonal space_group="R-3m, No. 166" formation_energy_uncorrected_ev_per_atom=-1.5847 pbc="T T T"
Pm 0.000 0.000 5.333
Pm 0.000 0.000 17.491
S 0.000 0.000 11.412
Br 0.000 0.000 0.000



Question: Which formula does entry 2 have?
Answer: PmS4Br